# TiRh (GGA-PBE, optimized geometry)
data_TiRh
_chemical_formula_sum 'Ti6 Rh6'
_symmetry_space_group_name_H-M 'P m -3 n'
_symmetry_Int_Tables_number 223
_symmetry_space_group_name_Hall '-P 4n 2 3'
_cell_length_a 6.861
_cell_length_b 6.861
_cell_length_c 6.861
_cell_angle_alpha 90.00
_cell_angle_beta 90.00
_cell_angle_gamma 90.00
loop_
_atom_site_label
_atom_site_type_symbol
_atom_site_fract_x
_atom_site_fract_y
_atom_site_fract_z
Ti1 Ti 0.000 0.250 0.500
Rh1 Rh 0.000 0.500 0.250
# - ΔE_f (meV/atom) = 585
# - size of the total moment (μB per formula unit) = 0.39